Entry 1:
This record from the Alexandria database describes crystalline NbPdPb2 at its relaxed geometry. The functional is PBE-GGA.

CIF file:
```
data_NbPdPb2
_symmetry_space_group_name_H-M 'P 1'
_symmetry_Int_Tables_number 1
_cell_length_a 10.181
_cell_length_b 4.778
_cell_length_c 8.369
_cell_angle_alpha 90.00
_cell_angle_beta 114.93
_cell_angle_gamma 90.00
loop_
_symmetry_equiv_pos_as_xyz
'x,y,z'
loop_
_atom_site_label
_atom_site_fract_x
_atom_site_fract_y
_atom_site_fract_z
Nb1 0.000 0.000 0.000
Nb2 0.181 0.500 0.042
Nb3 0.500 0.500 0.000
Nb4 0.681 0.000 0.042
Pd1 0.107 0.000 0.770
Pd2 0.429 0.000 0.738
Pd3 0.607 0.500 0.770
Pd4 0.929 0.500 0.738
Pb1 0.212 0.500 0.675
Pb2 0.217 0.000 0.357
Pb3 0.376 0.000 0.072
Pb4 0.431 0.500 0.415
Pb5 0.712 0.000 0.675
Pb6 0.717 0.500 0.357
Pb7 0.876 0.500 0.072
Pb8 0.931 0.000 0.415
```

Results
Offset from the most stable computed form (eV/atom): 0.099
ΔE_f (eV per atom): 0.0994
Raw total energy (eV for the cell shown): -89.1
Calculated volume (A^3/atom): 23.1
Space group: Cm

***

Entry 2:
This record from the Alexandria database describes crystalline NbPd12Pb3 at its relaxed geometry. The functional is PBE-GGA.

CIF file:
```
data_NbPd12Pb3
_symmetry_space_group_name_H-M 'P 1'
_symmetry_Int_Tables_number 1
_cell_length_a 4.066
_cell_length_b 4.066
_cell_length_c 16.388
_cell_angle_alpha 90.00
_cell_angle_beta 90.00
_cell_angle_gamma 90.00
loop_
_symmetry_equiv_pos_as_xyz
'x,y,z'
loop_
_atom_site_label
_atom_site_fract_x
_atom_site_fract_y
_atom_site_fract_z
Nb1 0.000 0.000 0.000
Pd1 0.000 0.500 0.115
Pd2 0.000 0.500 0.373
Pd3 0.000 0.500 0.627
Pd4 0.000 0.500 0.885
Pd5 0.500 0.000 0.115
Pd6 0.500 0.000 0.373
Pd7 0.500 0.000 0.627
Pd8 0.500 0.000 0.885
Pd9 0.500 0.500 0.000
Pd10 0.500 0.500 0.243
Pd11 0.500 0.500 0.500
Pd12 0.500 0.500 0.757
Pb1 0.000 0.000 0.249
Pb2 0.000 0.000 0.500
Pb3 0.000 0.000 0.751
```

Results
ΔE_f (eV per atom): -0.3172
Raw total energy (eV for the cell shown): -88.6
Calculated volume (A^3/atom): 16.9
Space group: P4/mmm

***

Entry 3:
This record from the Alexandria database describes crystalline NbPdPb2 at its relaxed geometry. The functional is PBE-GGA.

CIF file:
```
data_NbPdPb2
_symmetry_space_group_name_H-M 'P 1'
_symmetry_Int_Tables_number 1
_cell_length_a 3.185
_cell_length_b 3.213
_cell_length_c 9.228
_cell_angle_alpha 90.00
_cell_angle_beta 99.57
_cell_angle_gamma 90.00
loop_
_symmetry_equiv_pos_as_xyz
'x,y,z'
loop_
_atom_site_label
_atom_site_fract_x
_atom_site_fract_y
_atom_site_fract_z
Nb1 0.000 0.000 0.000
Pd1 0.585 0.500 0.178
Pb1 0.193 0.000 0.401
Pb2 0.382 0.500 0.756
```

Results
Offset from the most stable computed form (eV/atom): 0.035
ΔE_f (eV per atom): 0.0349
Raw total energy (eV for the cell shown): -22.5
Calculated volume (A^3/atom): 23.3
Space group: Pm